Record 1
! U2Si4MoPt3 (PBE, optimized geometry); values from VASP
&SYSTEM
  ibrav = 0, nat = 10, ntyp = 4
/
ATOMIC_SPECIES
U 238.03 U.upf
Si 28.09 Si.upf
Mo 95.94 Mo.upf
Pt 195.08 Pt.upf
ATOMIC_POSITIONS crystal
U 0.500 0.000 0.252
U 0.000 0.500 0.748
Si 0.500 0.500 0.000
Si 0.000 0.000 0.000
Si 0.500 0.000 0.634
Si 0.000 0.500 0.366
Mo 0.500 0.500 0.500
Pt 0.000 0.000 0.500
Pt 0.500 0.000 0.880
Pt 0.000 0.500 0.120
CELL_PARAMETERS angstrom
4.242 0.000 0.000
0.000 4.242 0.000
0.000 0.000 9.713
! E: -8.000 eV per atom
! formation energy from raw total energies: -677 meV per atom

---

Record 2
! YAs2Ir (PBE, optimized geometry); values from VASP
&SYSTEM
  ibrav = 0, nat = 4, ntyp = 3
/
ATOMIC_SPECIES
Y 88.91 Y.upf
As 74.92 As.upf
Ir 192.22 Ir.upf
ATOMIC_POSITIONS crystal
Y 0.500 0.750 0.714
As 0.000 0.097 0.013
As 0.500 0.367 0.262
Ir 0.000 0.286 0.511
CELL_PARAMETERS angstrom
4.326 0.000 0.000
0.000 4.293 0.013
0.000 0.684 4.673
! E: -6.716 eV per atom
! calculated formation energy: -0.56 eV/atom
! energy above the most stable polymorph in this dataset: 22.6 kJ/mol of atoms

---

Record 3
! K3RbH6Pt2 (PBE, optimized geometry); values from VASP
&SYSTEM
  ibrav = 0, nat = 12, ntyp = 4
/
ATOMIC_SPECIES
K 39.10 K.upf
Rb 85.47 Rb.upf
H 1.01 H.upf
Pt 195.08 Pt.upf
ATOMIC_POSITIONS crystal
K 0.333 0.667 0.775
K 0.667 0.333 0.225
K 0.000 0.000 0.000
Rb 0.000 0.000 0.500
H 0.644 0.822 0.234
H 0.178 0.356 0.234
H 0.178 0.822 0.234
H 0.822 0.644 0.766
H 0.356 0.178 0.766
H 0.822 0.178 0.766
Pt 0.667 0.333 0.795
Pt 0.333 0.667 0.205
CELL_PARAMETERS angstrom
-1.796 -3.634 4.566
5.289 3.024 0.405
-3.648 5.939 3.291
! E: -3.138 eV per atom

---

Record 4
! Mn2Sb (PBE, optimized geometry); values from VASP
&SYSTEM
  ibrav = 0, nat = 6, ntyp = 2
/
ATOMIC_SPECIES
Mn 54.94 Mn.upf
Sb 121.76 Sb.upf
ATOMIC_POSITIONS crystal
Mn 0.422 0.578 0.250
Mn 0.578 0.422 0.750
Mn 0.752 0.248 0.250
Mn 0.248 0.752 0.750
Sb 0.107 0.893 0.250
Sb 0.893 0.107 0.750
CELL_PARAMETERS angstrom
-1.800 6.296 1.301
-2.050 -6.202 -1.379
-0.097 -0.813 3.801
! E: -7.325 eV per atom
! formation energy from raw total energies: 162 meV per atom

---

Record 5
! SrHfOsO6 (PBE, optimized geometry); values from VASP
&SYSTEM
  ibrav = 0, nat = 18, ntyp = 4
/
ATOMIC_SPECIES
Sr 87.62 Sr.upf
Hf 178.49 Hf.upf
Os 190.23 Os.upf
O 16.00 O.upf
ATOMIC_POSITIONS crystal
Sr 0.910 0.660 0.820
Sr 0.090 0.340 0.180
Hf 0.500 0.000 0.500
Hf 0.000 0.000 0.500
Os 0.500 0.500 0.000
Os 0.500 0.000 0.000
O 0.472 0.722 0.943
O 0.846 0.096 0.692
O 0.821 0.101 0.255
O 0.434 0.654 0.255
O 0.434 0.101 0.255
O 0.821 0.654 0.255
O 0.528 0.278 0.057
O 0.154 0.904 0.308
O 0.179 0.899 0.745
O 0.566 0.346 0.745
O 0.566 0.899 0.745
O 0.179 0.346 0.745
CELL_PARAMETERS angstrom
7.207 0.000 0.000
0.000 7.261 0.000
-3.604 -3.631 5.210
! E: -7.965 eV per atom
! formation energy from raw total energies: -2119 meV per atom

---

Record 6
! CaCu2SnHg (PBE, optimized geometry); values from VASP
&SYSTEM
  ibrav = 0, nat = 5, ntyp = 4
/
ATOMIC_SPECIES
Ca 40.08 Ca.upf
Hg 200.59 Hg.upf
Cu 63.55 Cu.upf
Sn 118.71 Sn.upf
ATOMIC_POSITIONS crystal
Ca 0.500 0.500 0.500
Hg 0.000 0.500 0.000
Cu 0.000 0.000 0.500
Cu 0.500 0.000 0.000
Sn 0.000 0.000 0.000
CELL_PARAMETERS angstrom
-1.684 -2.555 -3.780
5.119 0.247 -2.447
1.265 -4.132 2.230
! E: -2.691 eV per atom
! calculated formation energy: 0.21 eV/atom

---

Record 7
! Sm4GaGe (PBE, optimized geometry); values from VASP
&SYSTEM
  ibrav = 0, nat = 12, ntyp = 3
/
ATOMIC_SPECIES
Sm 150.36 Sm.upf
Ga 69.72 Ga.upf
Ge 72.64 Ge.upf
ATOMIC_POSITIONS crystal
Sm 0.886 0.322 0.772
Sm 0.114 0.822 0.228
Sm 0.440 0.822 0.880
Sm 0.560 0.322 0.120
Sm 0.707 0.569 0.414
Sm 0.293 0.069 0.586
Sm 0.706 0.076 0.413
Sm 0.294 0.576 0.587
Ga 0.577 0.822 0.155
Ga 0.423 0.322 0.845
Ge 0.842 0.822 0.683
Ge 0.158 0.322 0.317
CELL_PARAMETERS angstrom
5.487 0.000 0.000
0.000 6.238 0.000
-2.743 0.000 10.488
! E: -4.704 eV per atom
! calculated formation energy: -0.28 eV/atom
! energy above the most stable polymorph in this dataset: 20.2 kJ/mol of atoms

---

Record 8
! Ta3FeS (PBE, optimized geometry); values from VASP
&SYSTEM
  ibrav = 0, nat = 5, ntyp = 3
/
ATOMIC_SPECIES
S 32.06 S.upf
Fe 55.84 Fe.upf
Ta 180.95 Ta.upf
ATOMIC_POSITIONS crystal
S 0.000 0.000 0.000
Fe 0.500 0.500 0.500
Ta 0.000 0.500 0.000
Ta 0.000 0.000 0.500
Ta 0.500 0.000 0.000
CELL_PARAMETERS angstrom
4.487 0.000 0.000
0.000 4.487 0.000
0.000 0.000 4.487
! E: -8.946 eV per atom
! formation energy from raw total energies: 684 meV per atom
! energy above the most stable polymorph in this dataset: 0.0 kJ/mol of atoms

---

Record 9
! IrRuW (PBE, optimized geometry); values from VASP
&SYSTEM
  ibrav = 0, nat = 3, ntyp = 3
/
ATOMIC_SPECIES
Ir 192.22 Ir.upf
Ru 101.07 Ru.upf
W 183.84 W.upf
ATOMIC_POSITIONS crystal
Ir 0.000 0.000 0.000
Ru 0.500 0.500 0.500
W 0.750 0.750 0.750
CELL_PARAMETERS angstrom
4.200 0.000 0.000
2.100 3.638 0.000
2.100 1.213 3.429
! E: -10.126 eV per atom
! calculated formation energy: 0.24 eV/atom
! energy above the most stable polymorph in this dataset: 38.8 kJ/mol of atoms

---

Record 10
! HCl2F8 (PBE, optimized geometry); values from VASP
&SYSTEM
  ibrav = 0, nat = 11, ntyp = 3
/
ATOMIC_SPECIES
H 1.01 H.upf
Cl 35.45 Cl.upf
F 19.00 F.upf
ATOMIC_POSITIONS crystal
H 0.000 0.000 0.000
Cl 0.378 0.187 0.187
Cl 0.622 0.813 0.813
F 0.817 0.121 0.802
F 0.183 0.198 0.879
F 0.550 0.322 0.322
F 0.450 0.678 0.678
F 0.817 0.802 0.121
F 0.183 0.879 0.198
F 0.086 0.324 0.324
F 0.914 0.676 0.676
CELL_PARAMETERS angstrom
5.102 0.336 0.287
1.006 5.551 0.096
1.006 0.955 5.469
! E: -2.361 eV per atom
! energy above the most stable polymorph in this dataset: 39.7 kJ/mol of atoms

---

Record 11
! CePm4Sn5 (PBE, optimized geometry); values from VASP
&SYSTEM
  ibrav = 0, nat = 10, ntyp = 3
/
ATOMIC_SPECIES
Ce 140.12 Ce.upf
Pm 145.00 Pm.upf
Sn 118.71 Sn.upf
ATOMIC_POSITIONS crystal
Ce 0.000 0.000 0.000
Pm 0.000 0.000 0.199
Pm 0.000 0.000 0.400
Pm 0.000 0.000 0.600
Pm 0.000 0.000 0.801
Sn 0.500 0.500 0.100
Sn 0.500 0.500 0.300
Sn 0.500 0.500 0.500
Sn 0.500 0.500 0.700
Sn 0.500 0.500 0.900
CELL_PARAMETERS angstrom
3.518 0.000 0.000
0.000 3.518 0.000
0.000 0.000 22.668
! E: -5.154 eV per atom
! calculated formation energy: -0.66 eV/atom

---

Record 12
! KIn2Pt2 (PBE, optimized geometry); values from VASP
&SYSTEM
  ibrav = 0, nat = 10, ntyp = 3
/
ATOMIC_SPECIES
K 39.10 K.upf
Pt 195.08 Pt.upf
In 114.82 In.upf
ATOMIC_POSITIONS crystal
K 0.000 0.000 0.000
K 0.500 0.500 0.000
Pt 0.166 0.666 0.500
Pt 0.666 0.834 0.500
Pt 0.834 0.334 0.500
Pt 0.334 0.166 0.500
In 0.370 0.870 0.000
In 0.870 0.630 0.000
In 0.630 0.130 0.000
In 0.130 0.370 0.000
CELL_PARAMETERS angstrom
8.469 0.000 0.000
0.000 8.469 0.000
0.000 0.000 2.934
! E: -4.112 eV per atom
! calculated formation energy: -0.38 eV/atom
! energy above the most stable polymorph in this dataset: 1.9 kJ/mol of atoms

---

Record 13
! Sb2AsPt2 (PBE, optimized geometry); values from VASP
&SYSTEM
  ibrav = 0, nat = 10, ntyp = 3
/
ATOMIC_SPECIES
Sb 121.76 Sb.upf
As 74.92 As.upf
Pt 195.08 Pt.upf
ATOMIC_POSITIONS crystal
Sb 0.164 0.664 0.500
Sb 0.664 0.836 0.500
Sb 0.836 0.336 0.500
Sb 0.336 0.164 0.500
As 0.000 0.000 0.000
As 0.500 0.500 0.000
Pt 0.365 0.865 0.000
Pt 0.865 0.635 0.000
Pt 0.635 0.135 0.000
Pt 0.135 0.365 0.000
CELL_PARAMETERS angstrom
7.483 0.000 0.000
0.000 7.483 0.000
0.000 0.000 3.658
! E: -5.064 eV per atom
! formation energy from raw total energies: -69 meV per atom

---

Record 14
! Sm8ZnIr3I4 (PBE, optimized geometry); values from VASP
&SYSTEM
  ibrav = 0, nat = 16, ntyp = 4
/
ATOMIC_SPECIES
Sm 150.36 Sm.upf
Zn 65.41 Zn.upf
Ir 192.22 Ir.upf
I 126.90 I.upf
ATOMIC_POSITIONS crystal
Sm 0.236 0.686 0.950
Sm 0.236 0.686 0.472
Sm 0.271 0.314 0.543
Sm 0.714 0.686 0.950
Sm 0.286 0.314 0.050
Sm 0.729 0.686 0.457
Sm 0.764 0.314 0.528
Sm 0.764 0.314 0.050
Zn 0.000 0.500 0.000
Ir 0.500 0.500 0.000
Ir 0.500 0.500 0.500
Ir 0.000 0.500 0.500
I 0.500 0.000 0.000
I 0.500 0.000 0.500
I 0.000 0.000 0.000
I 0.000 0.000 0.500
CELL_PARAMETERS angstrom
8.413 0.000 0.000
0.000 9.353 0.669
-4.206 -4.206 5.948
! E: -5.350 eV per atom
! formation energy from raw total energies: -862 meV per atom

---

Record 15
! HfCdH2 (PBE, optimized geometry); values from VASP
&SYSTEM
  ibrav = 0, nat = 4, ntyp = 3
/
ATOMIC_SPECIES
H 1.01 H.upf
Hf 178.49 Hf.upf
Cd 112.41 Cd.upf
ATOMIC_POSITIONS crystal
H 0.250 0.250 0.250
H 0.750 0.750 0.750
Hf 0.500 0.500 0.500
Cd 0.000 0.000 0.000
CELL_PARAMETERS angstrom
0.000 2.868 2.868
2.868 0.000 2.868
2.868 2.868 0.000
! E: -3.983 eV per atom
! energy above the most stable polymorph in this dataset: 38.1 kJ/mol of atoms

---

Record 16
! TiOsRuS (PBE, optimized geometry); values from VASP
&SYSTEM
  ibrav = 0, nat = 8, ntyp = 4
/
ATOMIC_SPECIES
Ru 101.07 Ru.upf
S 32.06 S.upf
Os 190.23 Os.upf
Ti 47.87 Ti.upf
ATOMIC_POSITIONS crystal
Ru 0.144 0.000 0.218
Ru 0.144 0.500 0.718
S 0.614 0.000 0.137
S 0.614 0.500 0.637
Os 0.274 0.000 0.488
Os 0.274 0.500 0.988
Ti 0.726 0.000 0.871
Ti 0.726 0.500 0.371
CELL_PARAMETERS angstrom
4.243 0.000 -0.007
0.000 2.899 0.000
-2.066 0.000 9.598
! E: -8.339 eV per atom
! formation energy from raw total energies: -207 meV per atom
! energy above the most stable polymorph in this dataset: 12.6 kJ/mol of atoms

---

Record 17
! BaCd6Hg2 (PBE, optimized geometry); values from VASP
&SYSTEM
  ibrav = 0, nat = 9, ntyp = 3
/
ATOMIC_SPECIES
Ba 137.33 Ba.upf
Cd 112.41 Cd.upf
Hg 200.59 Hg.upf
ATOMIC_POSITIONS crystal
Ba 0.000 0.000 0.000
Cd 0.000 0.500 0.306
Cd 0.500 0.000 0.306
Cd 0.000 0.500 0.694
Cd 0.500 0.000 0.694
Cd 0.500 0.500 0.500
Cd 0.000 0.000 0.500
Hg 0.500 0.500 0.135
Hg 0.500 0.500 0.865
CELL_PARAMETERS angstrom
4.602 0.000 0.000
0.000 4.602 0.000
0.000 0.000 11.094
! E: -1.090 eV per atom
! calculated formation energy: -0.20 eV/atom
! energy above the most stable polymorph in this dataset: 0.0 kJ/mol of atoms

---

Record 18
! PuGa4Au6 (PBE, optimized geometry); values from VASP
&SYSTEM
  ibrav = 0, nat = 11, ntyp = 3
/
ATOMIC_SPECIES
Pu 244.00 Pu.upf
Ga 69.72 Ga.upf
Au 196.97 Au.upf
ATOMIC_POSITIONS crystal
Pu 0.000 0.000 0.000
Ga 0.000 0.135 0.558
Ga 0.577 0.442 0.442
Ga 0.000 0.558 0.135
Ga 0.423 0.865 0.865
Au 0.000 0.783 0.464
Au 0.000 0.464 0.783
Au 0.681 0.217 0.217
Au 0.500 0.000 0.500
Au 0.319 0.536 0.536
Au 0.500 0.500 0.000
CELL_PARAMETERS angstrom
-1.509 -4.615 -4.795
6.548 1.643 0.998
-0.890 -1.695 6.550
! E: -4.399 eV per atom
! calculated formation energy: -0.21 eV/atom
! energy above the most stable polymorph in this dataset: 7.3 kJ/mol of atoms

---

Record 19
! Be2RePb (PBE, optimized geometry); values from VASP
&SYSTEM
  ibrav = 0, nat = 4, ntyp = 3
/
ATOMIC_SPECIES
Pb 207.20 Pb.upf
Re 186.21 Re.upf
Be 9.01 Be.upf
ATOMIC_POSITIONS crystal
Pb 0.553 0.553 0.445
Re 0.255 0.255 0.245
Be 0.905 0.905 0.096
Be 0.787 0.787 0.714
CELL_PARAMETERS angstrom
-0.597 0.814 6.750
-3.163 -0.037 6.047
0.707 -3.373 1.503
! E: -5.301 eV per atom
! calculated formation energy: 0.60 eV/atom

---

Record 20
! LiPaSi2 (PBE, optimized geometry); values from VASP
&SYSTEM
  ibrav = 0, nat = 32, ntyp = 3
/
ATOMIC_SPECIES
Li 6.94 Li.upf
Pa 231.04 Pa.upf
Si 28.09 Si.upf
ATOMIC_POSITIONS crystal
Li 0.750 0.537 0.942
Li 0.250 0.037 0.558
Li 0.250 0.463 0.058
Li 0.750 0.963 0.442
Li 0.750 0.356 0.181
Li 0.250 0.856 0.319
Li 0.250 0.644 0.819
Li 0.750 0.144 0.681
Pa 0.750 0.443 0.693
Pa 0.250 0.943 0.807
Pa 0.250 0.557 0.307
Pa 0.750 0.057 0.193
Pa 0.750 0.227 0.938
Pa 0.250 0.727 0.562
Pa 0.250 0.773 0.062
Pa 0.750 0.273 0.438
Si 0.750 0.956 0.975
Si 0.250 0.456 0.525
Si 0.250 0.044 0.025
Si 0.750 0.544 0.475
Si 0.750 0.763 0.898
Si 0.250 0.263 0.602
Si 0.250 0.237 0.102
Si 0.750 0.737 0.398
Si 0.750 0.725 0.722
Si 0.250 0.225 0.778
Si 0.250 0.275 0.278
Si 0.750 0.775 0.222
Si 0.750 0.918 0.638
Si 0.250 0.418 0.862
Si 0.250 0.082 0.362
Si 0.750 0.582 0.138
CELL_PARAMETERS angstrom
-0.062 2.058 3.456
-7.470 -6.776 3.901
9.615 -7.820 4.829
! E: -5.967 eV per atom
! formation energy from raw total energies: -404 meV per atom
! energy above the most stable polymorph in this dataset: 0.0 kJ/mol of atoms

---

Record 21
! LiNd2YHg4 (PBE, optimized geometry); values from VASP
&SYSTEM
  ibrav = 0, nat = 8, ntyp = 4
/
ATOMIC_SPECIES
Li 6.94 Li.upf
Nd 144.24 Nd.upf
Y 88.91 Y.upf
Hg 200.59 Hg.upf
ATOMIC_POSITIONS crystal
Li 0.500 0.500 0.500
Nd 0.755 0.755 0.736
Nd 0.245 0.245 0.264
Y 0.000 0.000 0.000
Hg 0.374 0.374 0.877
Hg 0.875 0.875 0.375
Hg 0.125 0.125 0.625
Hg 0.626 0.626 0.123
CELL_PARAMETERS angstrom
-4.534 2.605 -0.477
-3.477 -1.431 -3.665
-6.393 -5.051 4.276
! E: -2.852 eV per atom
! calculated formation energy: -0.46 eV/atom

---

Record 22
! NdDyTm2Bi4 (PBE, optimized geometry); values from VASP
&SYSTEM
  ibrav = 0, nat = 8, ntyp = 4
/
ATOMIC_SPECIES
Nd 144.24 Nd.upf
Dy 162.50 Dy.upf
Tm 168.93 Tm.upf
Bi 208.98 Bi.upf
ATOMIC_POSITIONS crystal
Nd 0.500 0.500 0.000
Dy 0.000 0.500 0.500
Tm 0.000 0.000 0.000
Tm 0.500 0.000 0.500
Bi 0.000 0.759 0.743
Bi 0.000 0.241 0.257
Bi 0.500 0.756 0.252
Bi 0.500 0.244 0.748
CELL_PARAMETERS angstrom
4.494 0.000 0.000
0.000 7.769 -0.150
0.000 2.737 7.279
! E: -5.067 eV per atom
! calculated formation energy: -0.84 eV/atom